# 1
A plane-wave DFT calculation with PBE was carried out for a geometry-optimized AgRuW3 structure.

Values from the calculation:
- calculated formation energy (kcal/mol of atoms) = 44.70
- crystal system = cubic

Cell: 4.700 4.700 4.700 Å, 90.00 90.00 90.00°
Fractional positions:
Ag 0.000 0.000 0.000
Ru 0.500 0.500 0.500
W 0.000 0.500 0.500
W 0.500 0.000 0.500
W 0.500 0.500 0.000

# 2
A plane-wave DFT calculation with PBE was carried out for a geometry-optimized Ce2Pm3In3 structure.

Values from the calculation:
- calculated formation energy (kcal/mol of atoms) = -7.37
- crystal system = orthorhombic

Cell: 10.891 10.891 10.891 Å, 155.93 154.03 35.70°
Fractional positions:
Ce 0.244 0.244 0.000
Ce 0.756 0.756 0.000
Pm 0.000 0.000 0.000
Pm 0.379 0.879 0.500
Pm 0.621 0.121 0.500
In 0.127 0.627 0.500
In 0.500 0.500 0.000
In 0.873 0.373 0.500

# 3
A plane-wave DFT calculation with PBE was carried out for a geometry-optimized Na4HfTi3Se8 structure.

Values from the calculation:
- crystal system = trigonal
- E (eV per atom) = -5.376

Cell: 8.297 8.297 8.297 Å, 54.38 54.38 54.38°
Fractional positions:
Na 0.000 0.000 0.000
Na 0.000 0.500 0.500
Na 0.500 0.000 0.500
Na 0.500 0.500 0.000
Hf 0.500 0.500 0.500
Ti 0.000 0.000 0.500
Ti 0.000 0.500 0.000
Ti 0.500 0.000 0.000
Se 0.235 0.741 0.741
Se 0.237 0.237 0.237
Se 0.259 0.259 0.765
Se 0.259 0.765 0.259
Se 0.741 0.235 0.741
Se 0.741 0.741 0.235
Se 0.763 0.763 0.763
Se 0.765 0.259 0.259

# 4
A plane-wave DFT calculation with PBE was carried out for a geometry-optimized CeCoH structure.

Values from the calculation:
- crystal system = tetragonal
- E (eV per atom) = -5.588

Cell: 4.334 4.334 4.334 Å, 130.62 130.62 72.42°
Fractional positions:
Ce 0.000 0.000 0.000
Co 0.545 0.545 0.000
H 0.328 0.328 0.000

# 5
A plane-wave DFT calculation with PBE was carried out for a geometry-optimized LiAs2SeI structure.

Values from the calculation:
- crystal system = tetragonal
- E (eV per atom) = -2.732

Cell: 5.039 5.039 4.448 Å, 90.00 90.00 90.00°
Fractional positions:
Li 0.000 0.000 0.000
As 0.000 0.500 0.000
As 0.500 0.000 0.000
Se 0.000 0.000 0.500
I 0.500 0.500 0.500

# 6
A plane-wave DFT calculation with PBE was carried out for a geometry-optimized Cs3TiTe4 structure.

Values from the calculation:
- crystal system = orthorhombic
- E (eV per atom) = -3.780

Cell: 9.433 9.433 9.433 Å, 138.76 65.75 131.21°
Fractional positions:
Cs 0.000 0.000 0.000
Cs 0.423 0.138 0.285
Cs 0.852 0.138 0.715
Ti 0.295 0.795 0.500
Te 0.260 0.619 0.641
Te 0.543 0.308 0.765
Te 0.543 0.777 0.235
Te 0.978 0.619 0.359

# 7
A plane-wave DFT calculation with PBE was carried out for a geometry-optimized Fe5Co structure.

Values from the calculation:
- calculated formation energy (kcal/mol of atoms) = 2.31
- crystal system = hexagonal

Cell: 4.264 4.264 3.892 Å, 90.00 90.00 120.00°
Fractional positions:
Fe 0.000 0.666 0.000
Fe 0.333 0.667 0.500
Fe 0.334 0.334 0.000
Fe 0.666 0.000 0.000
Fe 0.667 0.333 0.500
Co 0.000 0.000 0.500

# 8
A plane-wave DFT calculation with PBE was carried out for a geometry-optimized PaSn2Br8 structure.

Values from the calculation:
- crystal system = monoclinic
- E (eV per atom) = -3.846

Cell: 8.125 8.125 8.148 Å, 91.41 91.41 55.65°
Fractional positions:
Pa 0.000 0.000 0.000
Sn 0.133 0.133 0.487
Sn 0.867 0.867 0.513
Br 0.178 0.178 0.874
Br 0.193 0.692 0.759
Br 0.304 0.304 0.391
Br 0.308 0.807 0.241
Br 0.692 0.193 0.759
Br 0.696 0.696 0.609
Br 0.807 0.308 0.241
Br 0.822 0.822 0.126

# 9
A plane-wave DFT calculation with PBE was carried out for a geometry-optimized TmSi2Ir3 structure.

Values from the calculation:
- crystal system = monoclinic
- E (eV per atom) = -7.896

Cell: 8.189 8.189 9.719 Å, 107.86 107.86 28.03°
Fractional positions:
Tm 0.000 0.000 0.000
Tm 0.159 0.159 0.699
Tm 0.841 0.841 0.301
Si 0.196 0.196 0.130
Si 0.363 0.363 0.552
Si 0.463 0.463 0.220
Si 0.537 0.537 0.780
Si 0.637 0.637 0.448
Si 0.804 0.804 0.870
Ir 0.039 0.039 0.327
Ir 0.220 0.220 0.392
Ir 0.322 0.322 0.044
Ir 0.379 0.379 0.803
Ir 0.500 0.500 0.500
Ir 0.621 0.621 0.197
Ir 0.678 0.678 0.956
Ir 0.780 0.780 0.608
Ir 0.961 0.961 0.673

# 10
A plane-wave DFT calculation with PBE was carried out for a geometry-optimized YHgW2 structure.

Values from the calculation:
- calculated formation energy (kcal/mol of atoms) = 18.45
- crystal system = tetragonal

Cell: 3.612 3.612 6.487 Å, 90.00 90.00 90.00°
Fractional positions:
Y 0.000 0.000 0.000
Hg 0.000 0.000 0.500
W 0.500 0.500 0.312
W 0.500 0.500 0.688

# 11
A plane-wave DFT calculation with PBE was carried out for a geometry-optimized ZnTe2N structure.

Values from the calculation:
- crystal system = trigonal
- E (eV per atom) = -3.022

Cell: 9.299 9.299 9.299 Å, 20.29 20.29 20.29°
Fractional positions:
Zn 0.000 0.000 0.000
Te 0.106 0.106 0.106
Te 0.894 0.894 0.894
N 0.500 0.500 0.500

# 12
A plane-wave DFT calculation with PBE was carried out for a geometry-optimized Rb3Ho3VTe8 structure.

Values from the calculation:
- crystal system = monoclinic
- E (eV per atom) = -4.483

Cell: 8.653 8.653 10.181 Å, 115.22 115.22 59.91°
Fractional positions:
Rb 0.000 0.000 0.000
Rb 0.000 0.500 0.000
Rb 0.500 0.000 0.000
Ho 0.000 0.500 0.500
Ho 0.500 0.000 0.500
Ho 0.500 0.500 0.500
V 0.000 0.000 0.500
Te 0.217 0.217 0.686
Te 0.217 0.753 0.686
Te 0.247 0.783 0.314
Te 0.266 0.266 0.299
Te 0.734 0.734 0.701
Te 0.753 0.217 0.686
Te 0.783 0.247 0.314
Te 0.783 0.783 0.314